DFT (GGA-PBE) results for Li3GdO3 after structural relaxation.

Properties
Formation energy from raw total energies: -2.368 eV per atom

Cell lengths 5.8918, 5.8918, 10.8128 Å; angles 90.00, 90.00, 120.00 degrees
Space group P-31c (No. 163)
One atom of each set of equivalent atoms:
Li: 0.0552 0.3685 0.0629 x12
Gd: 0.0000 0.0000 0.2500 x2
Gd: 0.3333 0.6667 0.7500 x2
O: 0.0391 0.3357 0.8804 x12